(1)
This record from Alexandria via LeMat-Bulk describes crystalline Y2RePbO at its relaxed geometry. The functional is PBEsol.

a = 3.997 Å, b = 4.880 Å, c = 4.880 Å
α = 90.00°, β = 90.00°, γ = 90.00°
Fractional positions:
Y1 0.000 0.000 0.500
Y2 0.000 0.500 0.000
Re1 0.500 0.000 0.000
O1 0.000 0.000 0.000
Pb1 0.500 0.500 0.500

The space-group type is P4/mmm, No. 123.

---

(2)
This record from Alexandria via LeMat-Bulk describes crystalline RhPb3O at its relaxed geometry. The functional is PBEsol.

a = 4.789 Å, b = 4.789 Å, c = 4.789 Å
α = 90.00°, β = 90.00°, γ = 90.00°
Fractional positions:
Pb1 0.000 0.000 0.500
Pb2 0.000 0.500 0.000
Pb3 0.500 0.000 0.000
O1 0.000 0.000 0.000
Rh1 0.500 0.500 0.500

The space-group type is Pm-3m, No. 221.

---

(3)
This record from Alexandria via LeMat-Bulk describes crystalline Sb3RhPb4O13 at its relaxed geometry. The functional is PBEsol.

a = 7.373 Å, b = 7.373 Å, c = 7.373 Å
α = 61.02°, β = 61.02°, γ = 61.02°
Fractional positions:
Sb1 0.001 0.500 0.500
Sb2 0.500 0.001 0.500
Sb3 0.500 0.500 0.001
O1 0.829 0.422 0.422
O2 0.180 0.573 0.180
O3 0.180 0.180 0.573
O4 0.823 0.823 0.426
O5 0.575 0.575 0.174
O6 0.426 0.823 0.823
O7 0.573 0.180 0.180
O8 0.823 0.426 0.823
O9 0.422 0.422 0.829
O10 0.422 0.829 0.422
O11 0.575 0.174 0.575
O12 0.174 0.575 0.575
O13 0.125 0.125 0.125
Pb1 0.507 0.998 0.998
Pb2 0.998 0.998 0.998
Pb3 0.998 0.507 0.998
Pb4 0.998 0.998 0.507
Rh1 0.500 0.500 0.500

The space-group type is R3m, No. 160.

---

(4)
This record from Alexandria via LeMat-Bulk describes crystalline Ru4Pb4O13 at its relaxed geometry. The functional is PBEsol.

a = 7.214 Å, b = 7.214 Å, c = 7.214 Å
α = 60.00°, β = 60.00°, γ = 60.00°
Fractional positions:
Ru1 0.375 0.375 0.375
Ru2 0.375 0.375 0.875
Ru3 0.875 0.375 0.375
Ru4 0.375 0.875 0.375
O1 0.449 0.449 0.051
O2 0.051 0.449 0.051
O3 0.449 0.051 0.449
O4 0.304 0.304 0.696
O5 0.696 0.304 0.304
O6 0.696 0.696 0.304
O7 0.696 0.304 0.696
O8 0.449 0.051 0.051
O9 0.750 0.750 0.750
O10 0.304 0.696 0.696
O11 0.304 0.696 0.304
O12 0.051 0.051 0.449
O13 0.051 0.449 0.449
Pb1 0.368 0.877 0.877
Pb2 0.877 0.877 0.368
Pb3 0.877 0.877 0.877
Pb4 0.877 0.368 0.877

The space-group type is F-43m, No. 216.

---

(5)
This record from Alexandria via LeMat-Bulk describes crystalline TaRu2PbO at its relaxed geometry. The functional is PBEsol.

a = 4.895 Å, b = 4.895 Å, c = 5.214 Å
α = 90.00°, β = 90.00°, γ = 90.00°
Site moments in Bohr magnetons follow the coordinates.
Fractional positions:
Ru1 0.500 0.000 0.000  1.54
Ru2 0.000 0.500 0.000  1.54
Pb1 0.000 0.000 0.000  -0.03
O1 0.500 0.500 0.500  0.91
Ta1 0.000 0.000 0.500  -1.15

The space-group type is P4/mmm, No. 123.

---

(6)
This record from Alexandria via LeMat-Bulk describes crystalline PbS2O3 at its relaxed geometry. The functional is PBEsol.

a = 6.892 Å, b = 7.172 Å, c = 16.042 Å
α = 90.00°, β = 90.00°, γ = 90.00°
Fractional positions:
S1 0.198 0.612 0.291
S2 0.667 0.501 0.607
S3 0.333 0.999 0.107
S4 0.698 0.388 0.209
S5 0.802 0.388 0.709
S6 0.802 0.888 0.791
S7 0.302 0.612 0.791
S8 0.333 0.499 0.393
S9 0.667 0.001 0.893
S10 0.167 0.999 0.607
S11 0.833 0.501 0.107
S12 0.698 0.888 0.291
S13 0.302 0.112 0.709
S14 0.167 0.499 0.893
S15 0.198 0.112 0.209
S16 0.833 0.001 0.393
O1 0.559 0.170 0.870
O2 0.174 0.960 0.047
O3 0.967 0.857 0.426
O4 0.059 0.830 0.630
O5 0.033 0.643 0.926
O6 0.326 0.460 0.953
O7 0.326 0.960 0.547
O8 0.059 0.330 0.870
O9 0.033 0.143 0.574
O10 0.441 0.830 0.130
O11 0.467 0.143 0.074
O12 0.533 0.857 0.926
O13 0.941 0.170 0.370
O14 0.826 0.540 0.547
O15 0.826 0.040 0.953
O16 0.174 0.460 0.453
O17 0.674 0.040 0.453
O18 0.533 0.357 0.574
O19 0.441 0.330 0.370
O20 0.559 0.670 0.630
O21 0.941 0.670 0.130
O22 0.967 0.357 0.074
O23 0.467 0.643 0.426
O24 0.674 0.540 0.047
Pb1 0.658 0.528 0.878
Pb2 0.342 0.972 0.378
Pb3 0.342 0.472 0.122
Pb4 0.658 0.028 0.622
Pb5 0.842 0.028 0.122
Pb6 0.842 0.528 0.378
Pb7 0.158 0.472 0.622
Pb8 0.158 0.972 0.878

The space-group type is Pbca, No. 61.

---

(7)
This record from Alexandria via LeMat-Bulk describes crystalline Pb5SO8 at its relaxed geometry. The functional is PBEsol.

a = 7.334 Å, b = 11.533 Å, c = 11.632 Å
α = 90.00°, β = 90.00°, γ = 90.42°
Fractional positions:
Pb1 0.628 0.880 0.443
Pb2 0.868 0.632 0.571
Pb3 0.638 0.891 0.765
Pb4 0.118 0.389 0.756
Pb5 0.638 0.391 0.735
Pb6 0.122 0.389 0.092
Pb7 0.372 0.120 0.557
Pb8 0.878 0.111 0.592
Pb9 0.362 0.609 0.265
Pb10 0.628 0.380 0.057
Pb11 0.882 0.111 0.256
Pb12 0.132 0.868 0.071
Pb13 0.868 0.132 0.929
Pb14 0.362 0.109 0.235
Pb15 0.372 0.620 0.943
Pb16 0.122 0.889 0.408
Pb17 0.878 0.611 0.908
Pb18 0.882 0.611 0.244
Pb19 0.118 0.889 0.744
Pb20 0.132 0.368 0.429
S1 0.355 0.650 0.609
S2 0.645 0.350 0.391
S3 0.355 0.150 0.891
S4 0.645 0.850 0.109
O1 0.135 0.492 0.917
O2 0.132 0.206 0.327
O3 0.234 0.608 0.515
O4 0.880 0.515 0.721
O5 0.269 0.621 0.722
O6 0.269 0.121 0.778
O7 0.234 0.108 0.985
O8 0.868 0.794 0.673
O9 0.880 0.015 0.779
O10 0.375 0.779 0.600
O11 0.625 0.721 0.100
O12 0.392 0.498 0.104
O13 0.865 0.008 0.417
O14 0.766 0.392 0.485
O15 0.731 0.379 0.278
O16 0.731 0.879 0.222
O17 0.865 0.508 0.083
O18 0.608 0.002 0.604
O19 0.537 0.095 0.897
O20 0.120 0.485 0.279
O21 0.463 0.905 0.103
O22 0.537 0.595 0.603
O23 0.392 0.998 0.396
O24 0.375 0.279 0.900
O25 0.625 0.221 0.400
O26 0.463 0.405 0.397
O27 0.135 0.992 0.583
O28 0.766 0.892 0.015
O29 0.868 0.294 0.827
O30 0.608 0.502 0.896
O31 0.132 0.706 0.173
O32 0.120 0.985 0.221

The space-group type is P2_1/c, No. 14.

---

(8)
This record from Alexandria via LeMat-Bulk describes crystalline Pb3SO6 at its relaxed geometry. The functional is PBEsol.

a = 5.888 Å, b = 7.855 Å, c = 7.855 Å
α = 98.48°, β = 90.00°, γ = 90.00°
Fractional positions:
Pb1 0.250 0.360 0.163
Pb2 0.750 0.163 0.360
Pb3 0.750 0.640 0.837
Pb4 0.250 0.837 0.640
Pb5 0.750 0.104 0.896
Pb6 0.250 0.896 0.104
O1 0.957 0.712 0.288
O2 0.000 0.142 0.142
O3 0.457 0.288 0.712
O4 0.043 0.288 0.712
O5 0.500 0.142 0.142
O6 0.750 0.450 0.310
O7 0.750 0.690 0.550
O8 0.500 0.858 0.858
O9 0.250 0.310 0.450
O10 0.543 0.712 0.288
O11 0.250 0.550 0.690
O12 0.000 0.858 0.858
S1 0.750 0.642 0.358
S2 0.250 0.358 0.642

The value obtained for the excess energy over the best structure of this formula in the dataset is 33 meV per atom. The space-group type is Cmcm, No. 63.

---

(9)
This record from Alexandria via LeMat-Bulk describes crystalline PbSO3 at its relaxed geometry. The functional is PBEsol.

a = 5.461 Å, b = 6.762 Å, c = 7.880 Å
α = 90.00°, β = 90.00°, γ = 90.00°
Fractional positions:
Pb1 0.250 0.365 0.688
Pb2 0.750 0.635 0.312
Pb3 0.750 0.865 0.812
Pb4 0.250 0.135 0.188
O1 0.472 0.784 0.061
O2 0.972 0.284 0.439
O3 0.750 0.486 0.809
O4 0.028 0.716 0.561
O5 0.528 0.284 0.439
O6 0.472 0.716 0.561
O7 0.250 0.514 0.191
O8 0.528 0.216 0.939
O9 0.028 0.784 0.061
O10 0.750 0.014 0.309
O11 0.972 0.216 0.939
O12 0.250 0.986 0.691
S1 0.250 0.854 0.534
S2 0.750 0.354 0.966
S3 0.750 0.146 0.466
S4 0.250 0.646 0.034

The space-group type is Pnma, No. 62.

---

(10)
This record from Alexandria via LeMat-Bulk describes crystalline Pb2SO5 at its relaxed geometry. The functional is PBEsol.

a = 5.658 Å, b = 7.041 Å, c = 7.426 Å
α = 112.96°, β = 112.39°, γ = 90.00°
Fractional positions:
O1 0.713 0.289 0.426
O2 0.253 0.000 0.000
O3 0.929 0.751 0.287
O4 0.358 0.751 0.287
O5 0.642 0.249 0.713
O6 0.287 0.711 0.574
O7 0.071 0.249 0.713
O8 0.106 0.427 0.211
O9 0.747 0.000 0.000
O10 0.894 0.573 0.789
Pb1 0.474 0.726 0.949
Pb2 0.853 0.897 0.706
Pb3 0.147 0.103 0.294
Pb4 0.526 0.274 0.051
S1 0.831 0.342 0.661
S2 0.169 0.658 0.339

The space-group type is C2/m, No. 12.

---

(11)
This record from Alexandria via LeMat-Bulk describes crystalline Pb3SO6 at its relaxed geometry. The functional is PBEsol.

a = 5.754 Å, b = 7.141 Å, c = 8.144 Å
α = 103.37°, β = 90.00°, γ = 90.00°
Fractional positions:
O1 0.500 0.179 0.621
O2 0.750 0.840 0.025
O3 0.750 0.820 0.723
O4 0.000 0.179 0.621
O5 0.250 0.160 0.975
O6 0.541 0.579 0.836
O7 0.000 0.821 0.379
O8 0.041 0.421 0.164
O9 0.459 0.421 0.164
O10 0.959 0.579 0.836
O11 0.250 0.180 0.277
O12 0.500 0.821 0.379
Pb1 0.250 0.399 0.585
Pb2 0.750 0.236 0.846
Pb3 0.750 0.081 0.376
Pb4 0.250 0.764 0.154
Pb5 0.750 0.601 0.415
Pb6 0.250 0.919 0.624
S1 0.750 0.706 0.858
S2 0.250 0.294 0.142

The value obtained for the excess energy over the best structure of this formula in the dataset is 0 meV per atom. The space-group type is P2_1/m, No. 11.

---

(12)
This record from Alexandria via LeMat-Bulk describes crystalline PbSO3 at its relaxed geometry. The functional is PBEsol.

a = 4.472 Å, b = 5.317 Å, c = 6.312 Å
α = 90.00°, β = 105.88°, γ = 90.00°
Fractional positions:
O1 0.731 0.250 0.130
O2 0.197 0.022 0.325
O3 0.803 0.978 0.675
O4 0.197 0.478 0.325
O5 0.269 0.750 0.870
O6 0.803 0.522 0.675
S1 0.086 0.250 0.171
S2 0.914 0.750 0.829
Pb1 0.649 0.750 0.278
Pb2 0.351 0.250 0.722

The space-group type is P2_1/m, No. 11.

---

Number 1: DOS at the Fermi energy 3.16 states/eV/f.u., E_tot -8.07 eV/atom. Number 2: DOS at the Fermi energy 3.01 states/eV/f.u., E_tot -5.00 eV/atom. Number 3: DOS at the Fermi energy 2.64 states/eV/f.u., E_tot -6.36 eV/atom. Number 4: DOS at the Fermi energy 13.58 states/eV/f.u., E_tot -7.09 eV/atom. Number 5: DOS at the Fermi energy 5.71 states/eV/f.u., E_tot -5.44 eV/atom. Number 6: DOS at the Fermi energy 0.00 states/eV/f.u., E_tot -5.84 eV/atom. Number 7: DOS at the Fermi energy 0.00 states/eV/f.u., E_tot -6.01 eV/atom. Number 8: DOS at the Fermi energy 0.00 states/eV/f.u., E_tot -6.09 eV/atom. Number 9: DOS at the Fermi energy 0.00 states/eV/f.u., E_tot -6.14 eV/atom. Number 10: DOS at the Fermi energy 0.00 states/eV/f.u., E_tot -6.23 eV/atom. Number 11: DOS at the Fermi energy 0.00 states/eV/f.u., E_tot -6.12 eV/atom. Number 12: DOS at the Fermi energy 0.00 states/eV/f.u., E_tot -6.14 eV/atom.